No. 1
Density functional theory data (PBE-GGA) for PmSmSn4 after structural relaxation.

a = 5.163 Å, b = 5.163 Å, c = 8.536 Å
α = 105.82°, β = 105.82°, γ = 68.28°
Positions (direct):
Pm 0.000 0.000 0.000
Sm 0.500 0.500 0.500
Sn 0.106 0.106 0.396
Sn 0.396 0.396 0.106
Sn 0.604 0.604 0.894
Sn 0.894 0.894 0.604

Summary:
crystal system = monoclinic
mass density = 6409 kg/m3
magnetization = 0.00 μB per formula unit
calculated formation energy = -0.219 eV per atom



No. 2
Density functional theory data (PBE-GGA) for Pm2CuSi after structural relaxation.

a = 5.044 Å, b = 5.044 Å, c = 3.637 Å
α = 90.00°, β = 90.00°, γ = 90.00°
Positions (direct):
Pm 0.000 0.500 0.000
Pm 0.500 0.000 0.000
Cu 0.000 0.000 0.500
Si 0.500 0.500 0.500

Summary:
formation energy from raw total energies = -354 meV per atom
crystal system = tetragonal
mass density = 6849 kg/m3
magnetization = 0.00 μB per formula unit



No. 3
Density functional theory data (PBE-GGA) for CaIF after structural relaxation.

a = 4.073 Å, b = 4.073 Å, c = 4.936 Å
α = 90.00°, β = 90.00°, γ = 120.00°
Positions (direct):
Ca 0.000 0.000 0.000
I 0.667 0.333 0.500
F 0.333 0.667 0.000

Summary:
formation energy from raw total energies = -2661 meV per atom
crystal system = hexagonal
mass density = 4355 kg/m3
magnetization = 0.00 μB per formula unit



No. 4
Density functional theory data (PBE-GGA) for LiFeOs2 after structural relaxation.

a = 2.609 Å, b = 4.284 Å, c = 4.778 Å
α = 90.00°, β = 93.83°, γ = 90.00°
Positions (direct):
Li 0.000 0.000 0.000
Fe 0.500 0.000 0.500
Os 0.264 0.500 0.755
Os 0.736 0.500 0.245

Summary:
crystal system = monoclinic
mass density = 13815 kg/m3
magnetization = 2.50 μB per formula unit
calculated formation energy = 0.269 eV per atom



No. 5
Density functional theory data (PBE-GGA) for AlPd2C after structural relaxation.

a = 6.229 Å, b = 6.229 Å, c = 6.229 Å
α = 130.77°, β = 130.77°, γ = 72.18°
Positions (direct):
Al 0.000 0.000 0.000
Al 0.750 0.250 0.500
Pd 0.212 0.625 0.087
Pd 0.375 0.462 0.587
Pd 0.538 0.125 0.913
Pd 0.875 0.788 0.413
C 0.250 0.750 0.500
C 0.500 0.500 0.000

Summary:
crystal system = tetragonal
mass density = 6170 kg/m3
magnetization = 0.00 μB per formula unit
calculated formation energy = 0.440 eV per atom



No. 6
Density functional theory data (PBE-GGA) for Fe3AgP after structural relaxation.

a = 4.668 Å, b = 4.668 Å, c = 4.668 Å
α = 90.00°, β = 90.00°, γ = 90.00°
Positions (direct):
Fe 0.000 0.000 0.500
Fe 0.000 0.500 0.000
Fe 0.500 0.000 0.000
Ag 0.000 0.000 0.000
P 0.500 0.500 0.500

Summary:
crystal system = cubic
mass density = 5002 kg/m3
magnetization = 9.81 μB per formula unit
calculated formation energy = 1.689 eV per atom



No. 7
Density functional theory data (PBE-GGA) for Ba2SbBr after structural relaxation.

a = 11.087 Å, b = 11.087 Å, c = 8.620 Å
α = 104.72°, β = 104.72°, γ = 126.95°
Positions (direct):
Ba 0.057 0.431 0.766
Ba 0.180 0.303 0.232
Ba 0.303 0.180 0.732
Ba 0.431 0.057 0.266
Ba 0.569 0.943 0.734
Ba 0.697 0.820 0.268
Ba 0.820 0.697 0.768
Ba 0.943 0.569 0.234
Sb 0.060 0.940 0.250
Sb 0.316 0.684 0.250
Sb 0.684 0.316 0.750
Sb 0.940 0.060 0.750
Br 0.190 0.810 0.750
Br 0.435 0.565 0.750
Br 0.565 0.435 0.250
Br 0.810 0.190 0.250

Summary:
formation energy from raw total energies = -1516 meV per atom
crystal system = monoclinic
mass density = 4544 kg/m3
magnetization = 0.00 μB per formula unit



No. 8
Density functional theory data (PBE-GGA) for Mg2BeTe after structural relaxation.

a = 3.876 Å, b = 4.393 Å, c = 4.944 Å
α = 90.00°, β = 90.00°, γ = 90.00°
Positions (direct):
Mg 0.000 0.000 0.000
Mg 0.000 0.500 0.500
Be 0.500 0.000 0.500
Te 0.500 0.500 0.000

Summary:
formation energy from raw total energies = 207 meV per atom
crystal system = orthorhombic
mass density = 3653 kg/m3
magnetization = 0.00 μB per formula unit



no.,calculated volume (A^3/atom)
1,33.26
2,23.13
3,23.64
4,13.32
5,16.94
6,20.34
7,43.52
8,21.05